[1]
Compound: GdAl2In
Source: OQMD
Functional: PBE-GGA
Structure: relaxed

The structure belongs to space group Amm2 (No. 38); the cell edges are 4.762, 6.419 and 11.399 Å and the angles 90.00°, 90.00° and 90.00°. The inequivalent atoms are Gd at (0.000, 0.000, 0.000), Gd at (0.500, 0.000, 0.349), Al at (0.000, 0.000, 0.525), Al at (0.500, 0.000, 0.815), Al at (0.500, 0.218, 0.596) and In at (0.000, 0.239, 0.746).

=====

[2]
Compound: GdAl2In
Source: OQMD
Functional: PBE-GGA
Structure: relaxed

The structure belongs to space group Ama2 (No. 40); the cell edges are 4.766, 11.238 and 6.506 Å and the angles 90.00°, 90.00° and 90.00°. The inequivalent atoms are Gd at (0.250, 0.167, 0.000), Al at (0.250, 0.148, 0.482), Al at (0.250, 0.428, 0.772) and In at (0.250, 0.418, 0.223).

=====

[3]
Compound: Gd3Mg3AlIn2
Source: OQMD
Functional: PBE-GGA
Structure: relaxed

The structure belongs to space group P-62m (No. 189); the cell edges are 7.5413, 7.5413 and 4.6375 Å and the angles 90.00°, 90.00° and 120.00°. The inequivalent atoms are Gd at (0.0000, 0.5731, 0.0000), Mg at (0.0000, 0.2374, 0.5000), Al at (0.0000, 0.0000, 0.0000) and In at (0.3333, 0.6667, 0.5000).

=====

[4]
Compound: Tb2GdMg3Al2In
Source: OQMD
Functional: PBE-GGA
Structure: relaxed

The structure belongs to space group Amm2 (No. 38); the cell edges are 4.614, 12.877 and 7.420 Å and the angles 90.00°, 90.00° and 90.00°. The inequivalent atoms are Tb at (0.000, 0.218, 0.000), Gd at (0.000, 0.000, 0.655), Mg at (0.500, 0.000, 0.972), Mg at (0.500, 0.123, 0.341), Al at (0.500, 0.167, 0.718) and In at (0.000, 0.000, 0.217).

=====

[5]
Compound: Gd2AlInNi4
Source: OQMD
Functional: PBE-GGA
Structure: relaxed

The structure belongs to space group P-3m1 (No. 164); the cell edges are 4.2707, 4.2707 and 8.8335 Å and the angles 90.00°, 90.00° and 120.00°. The inequivalent atoms are Gd at (0.3333, 0.6667, 0.2463), Al at (0.0000, 0.0000, 0.0000), In at (0.0000, 0.0000, 0.5000), Ni at (0.3333, 0.6667, 0.5780) and Ni at (0.3333, 0.6667, 0.9344).

=====

[6]
Compound: Gd2AlIn3Ni2
Source: OQMD
Functional: PBE-GGA
Structure: relaxed

The structure belongs to space group Cm (No. 8); the cell edges are 10.529, 4.291 and 7.282 Å and the angles 90.00°, 90.48° and 90.00°. The inequivalent atoms are Gd at (0.000, 0.000, 0.000), Gd at (0.131, 0.000, 0.518), Al at (0.412, 0.000, 0.709), In at (0.208, 0.500, 0.812), In at (0.214, 0.500, 0.216), In at (0.425, 0.000, 0.316), Ni at (0.293, 0.000, 0.003) and Ni at (0.361, 0.500, 0.528).

=====

no.,raw total energy (eV/atom)
1,-4.090
2,-4.088
3,-3.462
4,-3.547
5,-5.220
6,-4.532